A plane-wave DFT calculation with PBE was carried out for a geometry-optimized Sm2Tm2Bi5 structure.

The total energy comes out at -4.8258 eV per atom. The value obtained for the magnetization is 0.00 Bohr magnetons per cell. The formation energy comes out at -60.53 kJ per mole of atoms.

abc: 16.0712 8.2473 8.4755
angles: 90.00 90.00 90.00
Closest atoms and distances in Å follow each position.
Space group Cmce (No. 64)
Unique sites:
1 Sm 0.1933 0.0000 0.0000 x8  7 Bi 3.11-3.33
2 Tm 0.0000 0.1529 0.3425 x8  8 Bi 3.16-3.42
3 Bi 0.0000 0.0000 0.0000 x4  2 Sm 3.11, 4 Tm 3.16-3.17
4 Bi 0.1374 0.1519 0.6512 x16  3 Tm 3.18-3.42, 3 Sm 3.26-3.33

=====

A plane-wave DFT calculation with PBE was carried out for a geometry-optimized Sm5Tm2Bi5 structure.

The total energy comes out at -4.9614 eV per atom. The value obtained for the magnetization is 0.00 Bohr magnetons per cell. The formation energy comes out at -61.06 kJ per mole of atoms.

abc: 14.8440 4.4947 12.9216
angles: 90.00 112.39 90.00
Closest atoms and distances in Å follow each position.
Space group C2/m (No. 12)
Unique sites:
1 Sm 0.0000 0.0000 0.0000 x2  4 Bi 3.18
2 Sm 0.1629 0.0000 0.5328 x4  5 Bi 3.21-3.43
3 Sm 0.2181 0.0000 0.8400 x4  5 Bi 3.08-3.31
4 Tm 0.0521 0.5000 0.2929 x4  4 Bi 2.98-3.09
5 Bi 0.0000 0.5000 0.5000 x2  2 Tm 3.06, 4 Sm 3.21
6 Bi 0.1155 0.5000 0.9269 x4  1 Tm 2.98, 5 Sm 3.08-3.18
7 Bi 0.1913 0.0000 0.2817 x4  2 Tm 3.09, 5 Sm 3.31-3.43

=====

A plane-wave DFT calculation with PBE was carried out for a geometry-optimized Sm4Tm3Bi4 structure.

The total energy comes out at -4.8261 eV per atom. The value obtained for the magnetization is 0.00 Bohr magnetons per cell. The formation energy comes out at -46.24 kJ per mole of atoms.

abc: 11.9102 4.7435 12.3421
angles: 90.00 90.00 90.00
Closest atoms and distances in Å follow each position.
Space group Amm2 (No. 38)
Unique sites:
1 Sm 0.0000 0.0000 0.0000 x2  4 Bi 3.02-3.23
2 Sm 0.2485 0.0000 0.4649 x4  4 Bi 3.27-3.29
3 Sm 0.5000 0.0000 0.0535 x2  5 Bi 3.40-3.73
4 Tm 0.0000 0.0000 0.6959 x2  2 Bi 3.03, 2 Sm 3.39
5 Tm 0.3499 0.0000 0.7598 x4  4 Bi 3.13-3.20
6 Bi 0.0000 0.0000 0.3491 x2  4 Sm 3.02-3.29, 2 Tm 3.03
7 Bi 0.2253 0.0000 0.1459 x4  2 Tm 3.13, 4 Sm 3.23-3.46
8 Bi 0.5000 0.0000 0.3558 x2  4 Tm 3.20, 4 Sm 3.28-3.40

=====

A plane-wave DFT calculation with PBE was carried out for a geometry-optimized SmTmBi2 structure.

Its distance to the lowest polymorph of the same formula is 0.0 meV/atom. The total energy comes out at -5.0895 eV per atom. The value obtained for the magnetization is 0.00 Bohr magnetons per cell. The formation energy comes out at -82.14 kJ per mole of atoms.

abc: 7.7889 4.5030 7.7819
angles: 90.00 109.59 90.00
Closest atoms and distances in Å follow each position.
Space group C2/m (No. 12)
Unique sites:
1 Sm 0.0000 0.0000 0.0000 x2  6 Bi 3.22
2 Tm 0.0000 0.5000 0.5000 x2  6 Bi 3.14
3 Bi 0.2471 0.0000 0.7412 x4  3 Tm 3.14, 3 Sm 3.22

=====

A plane-wave DFT calculation with PBE was carried out for a geometry-optimized Sm4TmBi5 structure.

The total energy comes out at -5.1683 eV per atom. The value obtained for the magnetization is 0.00 Bohr magnetons per cell. The formation energy comes out at -86.16 kJ per mole of atoms.

abc: 10.1387 10.1387 6.4165
angles: 90.00 90.00 90.00
Closest atoms and distances in Å follow each position.
Space group I4/m (No. 87)
Unique sites:
1 Sm 0.0979 0.3008 0.0000 x8  6 Bi 3.21-3.23
2 Tm 0.0000 0.0000 0.5000 x2  6 Bi 3.16-3.21
3 Bi 0.0000 0.0000 0.0000 x2  4 Sm 3.21, 2 Tm 3.21
4 Bi 0.0991 0.2952 0.5000 x8  1 Tm 3.16, 5 Sm 3.21-3.23

=====

A plane-wave DFT calculation with PBE was carried out for a geometry-optimized Sm2TmBi structure.

Its distance to the lowest polymorph of the same formula is 12.8 meV/atom. The total energy comes out at -4.8205 eV per atom. The value obtained for the magnetization is 0.00 Bohr magnetons per cell. The formation energy comes out at -35.97 kJ per mole of atoms.

abc: 4.6688 4.6516 11.7041
angles: 90.00 101.51 90.00
Closest atoms and distances in Å follow each position.
Space group P2_1/m (No. 11)
Unique sites:
1 Sm 0.0619 0.2500 0.1232 x2  6 Sm 3.30-3.66, 2 Bi 3.48
2 Sm 0.4347 0.2500 0.8702 x2  4 Sm 3.30, 2 Bi 3.42-3.43, 2 Tm 3.69
3 Tm 0.3100 0.7500 0.6204 x2  5 Bi 3.12-3.31
4 Bi 0.1744 0.7500 0.3483 x2  5 Tm 3.12-3.31, 4 Sm 3.42-3.48

=====

A plane-wave DFT calculation with PBE was carried out for a geometry-optimized Sm3TmBi2 structure.

Its distance to the lowest polymorph of the same formula is 0.0 meV/atom. The total energy comes out at -5.0278 eV per atom. The value obtained for the magnetization is 0.00 Bohr magnetons per cell. The formation energy comes out at -60.72 kJ per mole of atoms.

abc: 4.5984 4.5984 8.8158
angles: 90.00 90.00 90.00
Closest atoms and distances in Å follow each position.
Space group P-4m2 (No. 115)
Unique sites:
1 Sm 0.0000 0.0000 0.0000 x1  4 Tm 3.25, 4 Bi 3.37
2 Sm 0.0000 0.5000 0.6508 x2  5 Bi 3.27-3.31
3 Tm 0.5000 0.5000 0.0000 x1  4 Sm 3.25, 4 Bi 3.37
4 Bi 0.0000 0.5000 0.2797 x2  7 Sm 3.27-3.37, 2 Tm 3.37

=====

A plane-wave DFT calculation with PBE was carried out for a geometry-optimized SmTm3Bi2 structure.

The total energy comes out at -4.7794 eV per atom. The value obtained for the magnetization is 0.00 Bohr magnetons per cell. The formation energy comes out at -44.71 kJ per mole of atoms.

abc: 18.5886 4.3199 9.8957
angles: 90.00 113.32 90.00
Closest atoms and distances in Å follow each position.
Space group C2/m (No. 12)
Unique sites:
1 Sm 0.1113 0.0000 0.1157 x4  6 Bi 3.28-3.38
2 Tm 0.0572 0.0000 0.6701 x4  3 Bi 3.08-3.43, 3 Tm 3.19-3.34
3 Tm 0.1369 0.5000 0.4790 x4  4 Bi 3.24-3.34, 2 Tm 3.56
4 Tm 0.1887 0.5000 0.8894 x4  3 Bi 3.15-3.26, 4 Tm 3.27-3.34
5 Bi 0.0111 0.5000 0.8428 x4  4 Tm 3.08-3.28, 4 Sm 3.28-3.38, 1 Bi 3.30
6 Bi 0.2491 0.0000 0.7106 x4  6 Tm 3.24-3.43, 2 Sm 3.29

=====

A plane-wave DFT calculation with PBE was carried out for a geometry-optimized Sm2TmBi structure.

Its distance to the lowest polymorph of the same formula is 219.5 meV/atom. The total energy comes out at -4.6137 eV per atom. The value obtained for the magnetization is 2.24 Bohr magnetons per cell. The formation energy comes out at -16.02 kJ per mole of atoms.

abc: 4.1091 4.1091 28.5682
angles: 90.00 90.00 120.00
Closest atoms and distances in Å follow each position.
Space group R3m (No. 160, hexagonal axes)
Unique sites:
1 Sm 0.0000 0.0000 0.0000 x3  3 Bi 3.13
2 Sm 0.0000 0.0000 0.1904 x3  3 Bi 3.13
3 Tm 0.0000 0.0000 0.4285 x3  6 Sm 3.61
4 Bi 0.0000 0.0000 0.5949 x3  6 Sm 3.13

=====

A plane-wave DFT calculation with PBE was carried out for a geometry-optimized SmTm3Bi3 structure.

The total energy comes out at -4.8569 eV per atom. The value obtained for the magnetization is 0.00 Bohr magnetons per cell. The formation energy comes out at -58.19 kJ per mole of atoms.

abc: 9.0985 9.0985 18.7407
angles: 90.00 90.00 120.00
Closest atoms and distances in Å follow each position.
Space group R-3 (No. 148, hexagonal axes)
Unique sites:
1 Sm 0.0000 0.0000 0.1657 x6  6 Bi 3.25-3.26
2 Tm 0.9997 0.2556 0.4198 x18  5 Bi 3.10-3.35
3 Bi 0.0019 0.6132 0.4132 x18  5 Tm 3.10-3.35, 2 Sm 3.25-3.26

=====

A plane-wave DFT calculation with PBE was carried out for a geometry-optimized Sm2TmBi structure.

Its distance to the lowest polymorph of the same formula is 21.1 meV/atom. The total energy comes out at -4.8121 eV per atom. The value obtained for the magnetization is 0.00 Bohr magnetons per cell. The formation energy comes out at -35.16 kJ per mole of atoms.

abc: 4.8951 4.8951 4.9303
angles: 90.00 90.00 90.00
Closest atoms and distances in Å follow each position.
Space group P4/mmm (No. 123)
Unique sites:
1 Sm 0.0000 0.5000 0.0000 x2  4 Sm 3.46, 4 Bi 3.47, 4 Tm 3.47
2 Tm 0.0000 0.0000 0.5000 x1  4 Bi 3.46, 8 Sm 3.47
3 Bi 0.5000 0.5000 0.5000 x1  4 Tm 3.46, 8 Sm 3.47

=====

A plane-wave DFT calculation with PBE was carried out for a geometry-optimized SmTmBi structure.

The total energy comes out at -4.6246 eV per atom. The value obtained for the magnetization is 0.00 Bohr magnetons per cell. The formation energy comes out at -25.80 kJ per mole of atoms.

abc: 5.1991 5.1991 4.0310
angles: 90.00 90.00 120.00
Closest atoms and distances in Å follow each position.
Space group P3m1 (No. 156)
Unique sites:
1 Sm 0.0000 0.0000 0.0000 x1  3 Bi 3.34, 6 Tm 3.55-3.69
2 Tm 0.3333 0.6667 0.5310 x1  3 Bi 3.08
3 Bi 0.6667 0.3333 0.3647 x1  3 Tm 3.08, 3 Sm 3.34

=====

A plane-wave DFT calculation with PBE was carried out for a geometry-optimized Sm5Tm3Bi8 structure.

The total energy comes out at -5.1209 eV per atom. The value obtained for the magnetization is 0.00 Bohr magnetons per cell. The formation energy comes out at -83.68 kJ per mole of atoms.

abc: 9.0292 9.0292 22.0968
angles: 90.00 90.00 120.00
Closest atoms and distances in Å follow each position.
Space group R-3m (No. 166, hexagonal axes)
Unique sites:
1 Sm 0.0000 0.0000 0.0000 x3  6 Bi 3.19
2 Sm 0.0000 0.0000 0.5000 x3  6 Bi 3.19
3 Sm 0.0000 0.5000 0.0000 x9  6 Bi 3.23
4 Tm 0.0000 0.5000 0.5000 x9  6 Bi 3.15
5 Bi 0.0000 0.0000 0.2471 x6  3 Tm 3.15, 3 Sm 3.23
6 Bi 0.0039 0.5020 0.7520 x18  2 Tm 3.15, 4 Sm 3.19-3.23

=====

A plane-wave DFT calculation with PBE was carried out for a geometry-optimized Sm4TmBi5 structure.

The total energy comes out at -5.1691 eV per atom. The value obtained for the magnetization is 0.00 Bohr magnetons per cell. The formation energy comes out at -86.24 kJ per mole of atoms.

abc: 4.5359 4.5359 32.0398
angles: 90.00 90.00 90.00
Closest atoms and distances in Å follow each position.
Space group I4/mmm (No. 139)
Unique sites:
1 Sm 0.0000 0.0000 0.0997 x4  6 Bi 3.19-3.22
2 Sm 0.0000 0.0000 0.3008 x4  6 Bi 3.21-3.23
3 Tm 0.0000 0.0000 0.5000 x2  6 Bi 3.15-3.21
4 Bi 0.0000 0.0000 0.0000 x2  2 Sm 3.19, 4 Tm 3.21
5 Bi 0.0000 0.0000 0.2001 x4  6 Sm 3.21-3.23
6 Bi 0.0000 0.0000 0.4018 x4  1 Tm 3.15, 5 Sm 3.21-3.23

=====

A plane-wave DFT calculation with PBE was carried out for a geometry-optimized Sm3TmBi2 structure.

Its distance to the lowest polymorph of the same formula is 170.2 meV/atom. The total energy comes out at -4.8575 eV per atom. The value obtained for the magnetization is 0.00 Bohr magnetons per cell. The formation energy comes out at -44.29 kJ per mole of atoms.

abc: 17.2014 4.4135 10.7682
angles: 90.00 101.50 90.00
Closest atoms and distances in Å follow each position.
Space group C2/m (No. 12)
Unique sites:
1 Sm 0.0184 0.0000 0.1568 x4  3 Bi 3.17-3.21, 1 Sm 3.31
2 Sm 0.1579 0.5000 0.0008 x4  3 Bi 3.42-3.79, 2 Tm 3.73
3 Sm 0.1602 0.5000 0.4510 x4  5 Bi 3.33-3.58, 2 Tm 3.66
4 Tm 0.1626 0.0000 0.7233 x4  4 Bi 3.08-3.11
5 Bi 0.0359 0.5000 0.6668 x4  2 Tm 3.08, 3 Sm 3.17-3.36
6 Bi 0.2078 0.0000 0.2465 x4  2 Tm 3.11, 5 Sm 3.21-3.42

=====

A plane-wave DFT calculation with PBE was carried out for a geometry-optimized Sm5TmBi5 structure.

The total energy comes out at -5.0254 eV per atom. The value obtained for the magnetization is 0.00 Bohr magnetons per cell. The formation energy comes out at -68.48 kJ per mole of atoms.

abc: 14.1725 6.3650 8.9648
angles: 90.00 108.69 90.00
Closest atoms and distances in Å follow each position.
Space group C2/m (No. 12)
Unique sites:
1 Sm 0.0000 0.0000 0.0000 x2  4 Bi 3.17-3.18
2 Sm 0.1625 0.5000 0.3266 x4  5 Bi 3.16-3.21
3 Sm 0.1690 0.5000 0.8348 x4  5 Bi 3.17-3.18
4 Tm 0.0000 0.0000 0.5000 x2  6 Bi 3.12-3.18
5 Bi 0.0000 0.5000 0.5000 x2  4 Sm 3.16-3.18, 2 Tm 3.18
6 Bi 0.1643 0.0000 0.8300 x4  1 Tm 3.12, 5 Sm 3.17-3.19
7 Bi 0.1667 0.0000 0.3369 x4  1 Tm 3.15, 5 Sm 3.18-3.21

=====

A plane-wave DFT calculation with PBE was carried out for a geometry-optimized Sm2TmBi3 structure.

Its distance to the lowest polymorph of the same formula is 2.7 meV/atom. The total energy comes out at -5.1315 eV per atom. The value obtained for the magnetization is 0.00 Bohr magnetons per cell. The formation energy comes out at -84.20 kJ per mole of atoms.

abc: 4.5181 6.3910 13.5486
angles: 90.00 90.00 90.00
Closest atoms and distances in Å follow each position.
Space group Immm (No. 71)
Unique sites:
1 Sm 0.0000 0.0000 0.1681 x4  6 Bi 3.20-3.23
2 Tm 0.0000 0.0000 0.5000 x2  6 Bi 3.15-3.20
3 Bi 0.0000 0.5000 0.1619 x4  2 Tm 3.15, 4 Sm 3.20-3.23
4 Bi 0.0000 0.5000 0.5000 x2  2 Tm 3.20, 4 Sm 3.21

=====

A plane-wave DFT calculation with PBE was carried out for a geometry-optimized SmTm5Bi4 structure.

The total energy comes out at -4.7843 eV per atom. The value obtained for the magnetization is 3.48 Bohr magnetons per cell. The formation energy comes out at -50.58 kJ per mole of atoms.

abc: 19.8366 4.3824 7.6439
angles: 90.00 101.41 90.00
Closest atoms and distances in Å follow each position.
Space group C2/m (No. 12)
Unique sites:
1 Sm 0.0000 0.0000 0.0000 x2  6 Bi 3.21-3.29
2 Tm 0.0000 0.0000 0.5000 x2  6 Bi 3.12-3.22
3 Tm 0.1892 0.5000 0.0855 x4  3 Bi 3.07-3.18
4 Tm 0.1977 0.5000 0.6126 x4  4 Bi 3.12-3.25
5 Bi 0.0647 0.5000 0.7736 x4  4 Tm 3.07-3.12, 2 Sm 3.21
6 Bi 0.1355 0.0000 0.3270 x4  6 Tm 3.17-3.25, 1 Sm 3.29

=====

A plane-wave DFT calculation with PBE was carried out for a geometry-optimized Sm3Tm4Bi8 structure.

The total energy comes out at -4.8581 eV per atom. The value obtained for the magnetization is 0.00 Bohr magnetons per cell. The formation energy comes out at -62.91 kJ per mole of atoms.

abc: 12.6477 12.6619 8.9169
angles: 90.00 134.75 90.00
Closest atoms and distances in Å follow each position.
Space group C2/m (No. 12)
Unique sites:
1 Sm 0.0000 0.0000 0.0000 x2  6 Bi 3.20-3.21
2 Sm 0.2500 0.2500 0.0000 x4  6 Bi 3.16-3.17
3 Tm 0.0000 0.5000 0.0000 x2  6 Bi 3.12-3.13
4 Tm 0.0000 0.5000 0.5000 x2  6 Bi 3.19
5 Tm 0.2500 0.2500 0.5000 x4  6 Bi 3.16-3.17
6 Bi 0.0000 0.2479 0.5000 x4  3 Tm 3.16-3.19, 2 Sm 3.17
7 Bi 0.0000 0.2528 0.0000 x4  3 Tm 3.13-3.17, 3 Sm 3.16-3.20
8 Bi 0.2482 0.5000 0.0033 x4  2 Tm 3.12-3.19, 3 Sm 3.17-3.21
9 Bi 0.2490 0.5000 0.4930 x4  4 Tm 3.12-3.19, 1 Sm 3.21

=====

A plane-wave DFT calculation with PBE was carried out for a geometry-optimized SmTm5Bi2 structure.

The total energy comes out at -4.6321 eV per atom. The value obtained for the magnetization is 0.00 Bohr magnetons per cell. The formation energy comes out at -26.75 kJ per mole of atoms.

abc: 4.0545 9.9962 12.1031
angles: 90.00 90.00 90.00
Closest atoms and distances in Å follow each position.
Space group Immm (No. 71)
Unique sites:
1 Sm 0.0000 0.0000 0.0000 x2  4 Bi 3.43
2 Tm 0.0000 0.2051 0.3596 x8  3 Bi 3.14-3.29, 5 Tm 3.35-3.46
3 Tm 0.0000 0.5000 0.0000 x2  2 Bi 3.28, 8 Tm 3.35
4 Bi 0.0000 0.5000 0.2711 x4  7 Tm 3.14-3.29, 2 Sm 3.43